#P
{
  "formula": "KTlNi2",
  "functional": "GGA-PBEsol",
  "state": "optimized geometry",
  "rho_kg_m3": 8028,
  "magnetic_moment_mub_per_fu": 0.38,
  "n_ef_per_ev_cell": 4.2,
  "sg": "Imm2 (44)",
  "crystal_system": "orthorhombic",
  "lattice_angstrom": [[-1.418, 2.525, 5.211], [1.418, -2.525, 5.211], [1.418, 2.525, -5.211]],
  "species": ["K", "Tl", "Ni", "Ni"],
  "fractional_positions": [[0.000, 0.000, 0.000], [0.297, 0.797, 0.500], [0.524, 0.524, 0.000], [0.706, 0.206, 0.500]]
}



#Q
{
  "formula": "KTlNi2",
  "functional": "GGA-PBEsol",
  "state": "optimized geometry",
  "rho_kg_m3": 8384,
  "magnetic_moment_mub_per_fu": 0.00,
  "n_ef_per_ev_cell": 3.3,
  "sg": "I-4m2 (119)",
  "crystal_system": "tetragonal",
  "lattice_angstrom": [[-1.982, 1.982, 4.547], [1.982, -1.982, 4.547], [1.982, 1.982, -4.547]],
  "species": ["K", "Tl", "Ni", "Ni"],
  "fractional_positions": [[0.000, 0.000, 0.000], [0.250, 0.750, 0.500], [0.500, 0.500, 0.000], [0.750, 0.250, 0.500]]
}



#R
{
  "formula": "KTlNi2",
  "functional": "GGA-PBEsol",
  "state": "optimized geometry",
  "rho_kg_m3": 7596,
  "magnetic_moment_mub_per_fu": 0.00,
  "n_ef_per_ev_cell": 2.8,
  "sg": "Immm (71)",
  "crystal_system": "orthorhombic",
  "lattice_angstrom": [[-2.307, 2.616, 3.268], [2.307, -2.616, 3.268], [2.307, 2.616, -3.268]],
  "species": ["K", "Tl", "Ni", "Ni"],
  "fractional_positions": [[0.000, 0.000, 0.000], [0.500, 0.500, 0.000], [0.312, 0.812, 0.500], [0.688, 0.188, 0.500]]
}



Need the numbers? Relative energies in meV/atom: #P 0; #Q 232; #R 155.



#P
{
  "formula": "KNi2W",
  "functional": "GGA-PBEsol",
  "state": "optimized geometry",
  "rho_kg_m3": 8803,
  "magnetic_moment_mub_per_fu": 0.26,
  "n_ef_per_ev_cell": 7.2,
  "sg": "P4mm (99)",
  "crystal_system": "tetragonal",
  "lattice_angstrom": [[2.664, 0.000, 0.000], [0.000, 2.664, 0.000], [0.000, 0.000, 9.043]],
  "species": ["K", "Ni", "Ni", "W"],
  "fractional_positions": [[0.000, 0.000, 0.000], [0.000, 0.000, 0.448], [0.500, 0.500, 0.279], [0.500, 0.500, 0.644]]
}



#Q
{
  "formula": "KNi2W",
  "functional": "GGA-PBEsol",
  "state": "optimized geometry",
  "rho_kg_m3": 9166,
  "magnetic_moment_mub_per_fu": 0.00,
  "n_ef_per_ev_cell": 4.7,
  "sg": "Fm-3m (225)",
  "crystal_system": "cubic",
  "lattice_angstrom": [[0.000, 3.135, 3.135], [3.135, 0.000, 3.135], [3.135, 3.135, 0.000]],
  "species": ["K", "Ni", "Ni", "W"],
  "fractional_positions": [[0.000, 0.000, 0.000], [0.250, 0.250, 0.250], [0.750, 0.750, 0.750], [0.500, 0.500, 0.500]]
}



Need the numbers? Relative energies in meV/atom: #P 0; #Q 637.



#P
{
  "formula": "KNi2W",
  "functional": "GGA-PBEsol",
  "state": "optimized geometry",
  "rho_kg_m3": 7628,
  "magnetic_moment_mub_per_fu": 0.00,
  "n_ef_per_ev_cell": 5.2,
  "sg": "Pm (6)",
  "crystal_system": "monoclinic",
  "lattice_angstrom": [[2.617, 0.000, 0.000], [0.000, 4.095, 0.000], [-0.435, 0.000, 6.913]],
  "species": ["K", "Ni", "Ni", "W"],
  "fractional_positions": [[0.000, 0.000, 0.000], [0.534, 0.500, 0.306], [0.553, 0.000, 0.495], [0.077, 0.500, 0.603]]
}



#Q
{
  "formula": "KNi2W",
  "functional": "GGA-PBEsol",
  "state": "optimized geometry",
  "rho_kg_m3": 8857,
  "magnetic_moment_mub_per_fu": 1.11,
  "n_ef_per_ev_cell": 5.0,
  "sg": "Pmmm (47)",
  "crystal_system": "orthorhombic",
  "lattice_angstrom": [[2.616, 0.000, 0.000], [0.000, 4.547, 0.000], [0.000, 0.000, 5.364]],
  "species": ["K", "Ni", "Ni", "W"],
  "fractional_positions": [[0.000, 0.000, 0.000], [0.000, 0.500, 0.500], [0.500, 0.500, 0.000], [0.500, 0.000, 0.500]]
}



Need the numbers? Relative energies in meV/atom: #P 0; #Q 730.



#P
{
  "formula": "KY2Ni",
  "functional": "GGA-PBEsol",
  "state": "optimized geometry",
  "rho_kg_m3": 3526,
  "magnetic_moment_mub_per_fu": 0.00,
  "n_ef_per_ev_cell": 4.4,
  "sg": "P4mm (99)",
  "crystal_system": "tetragonal",
  "lattice_angstrom": [[3.765, 0.000, 0.000], [0.000, 3.765, 0.000], [0.000, 0.000, 9.159]],
  "species": ["K", "Y", "Y", "Ni"],
  "fractional_positions": [[0.000, 0.000, 0.000], [0.000, 0.000, 0.386], [0.500, 0.500, 0.636], [0.500, 0.500, 0.346]]
}



#Q
{
  "formula": "KY2Ni",
  "functional": "GGA-PBEsol",
  "state": "optimized geometry",
  "rho_kg_m3": 4588,
  "magnetic_moment_mub_per_fu": 0.00,
  "n_ef_per_ev_cell": 3.8,
  "sg": "Pmmm (47)",
  "crystal_system": "orthorhombic",
  "lattice_angstrom": [[4.221, 0.000, 0.000], [0.000, 4.402, 0.000], [0.000, 0.000, 5.368]],
  "species": ["K", "Y", "Y", "Ni"],
  "fractional_positions": [[0.000, 0.000, 0.000], [0.500, 0.000, 0.500], [0.500, 0.500, 0.000], [0.000, 0.500, 0.500]]
}



Need the numbers? Relative energies in meV/atom: #P 0; #Q 491.



#P
{
  "formula": "KO2",
  "functional": "GGA-PBEsol",
  "state": "optimized geometry",
  "rho_kg_m3": 2115,
  "magnetic_moment_mub_per_fu": 1.00,
  "n_ef_per_ev_cell": 4.0,
  "sg": "C2/c (15)",
  "crystal_system": "monoclinic",
  "lattice_angstrom": [[4.734, -2.000, 0.000], [4.734, 2.000, 0.000], [-4.532, 0.000, 5.896]],
  "species": ["K", "K", "O", "O", "O", "O"],
  "fractional_positions": [[0.000, 0.500, 0.000], [0.500, 0.000, 0.500], [0.091, 0.811, 0.452], [0.189, 0.909, 0.048], [0.811, 0.091, 0.952], [0.909, 0.189, 0.548]]
}



#Q
{
  "formula": "KO2",
  "functional": "GGA-PBEsol",
  "state": "optimized geometry",
  "rho_kg_m3": 2408,
  "magnetic_moment_mub_per_fu": 1.00,
  "n_ef_per_ev_cell": 2.1,
  "sg": "I4/mmm (139)",
  "crystal_system": "tetragonal",
  "lattice_angstrom": [[-1.927, 1.927, 3.302], [1.927, -1.927, 3.302], [1.927, 1.927, -3.302]],
  "species": ["K", "O", "O"],
  "fractional_positions": [[0.000, 0.000, 0.000], [0.398, 0.398, 0.000], [0.602, 0.602, 0.000]]
}



#R
{
  "formula": "KO2",
  "functional": "GGA-PBEsol",
  "state": "optimized geometry",
  "rho_kg_m3": 2086,
  "magnetic_moment_mub_per_fu": 1.00,
  "n_ef_per_ev_cell": 21.6,
  "sg": "Pa-3 (205)",
  "crystal_system": "cubic",
  "lattice_angstrom": [[6.095, 0.000, 0.000], [0.000, 6.095, 0.000], [0.000, 0.000, 6.095]],
  "species": ["K", "K", "K", "K", "O", "O", "O", "O", "O", "O", "O", "O"],
  "fractional_positions": [[0.000, 0.000, 0.000], [0.000, 0.500, 0.500], [0.500, 0.000, 0.500], [0.500, 0.500, 0.000], [0.064, 0.564, 0.936], [0.064, 0.936, 0.436], [0.436, 0.064, 0.936], [0.436, 0.436, 0.436], [0.564, 0.564, 0.564], [0.564, 0.936, 0.064], [0.936, 0.064, 0.564], [0.936, 0.436, 0.064]]
}



Need the numbers? Relative energies in meV/atom: #P 75; #Q 0; #R 63.



#P
{
  "formula": "KOs2O6",
  "functional": "GGA-PBEsol",
  "state": "optimized geometry",
  "rho_kg_m3": 7649,
  "magnetic_moment_mub_per_fu": 0.00,
  "n_ef_per_ev_cell": 6.2,
  "sg": "P-1 (2)",
  "crystal_system": "triclinic",
  "lattice_angstrom": [[5.612, 0.000, 0.000], [1.590, 6.258, 0.000], [2.421, 2.483, 6.374]],
  "species": ["K", "K", "Os", "Os", "Os", "Os", "O", "O", "O", "O", "O", "O", "O", "O", "O", "O", "O", "O"],
  "fractional_positions": [[0.192, 0.204, 0.388], [0.808, 0.796, 0.612], [0.185, 0.858, 0.951], [0.367, 0.413, 0.737], [0.633, 0.587, 0.263], [0.815, 0.142, 0.049], [0.015, 0.391, 0.875], [0.100, 0.978, 0.176], [0.301, 0.539, 0.463], [0.302, 0.719, 0.737], [0.379, 0.108, 0.760], [0.485, 0.687, 0.040], [0.515, 0.313, 0.960], [0.621, 0.892, 0.240], [0.698, 0.281, 0.263], [0.699, 0.461, 0.537], [0.900, 0.022, 0.824], [0.985, 0.609, 0.125]]
}



#Q
{
  "formula": "KOs2O6",
  "functional": "GGA-PBEsol",
  "state": "optimized geometry",
  "rho_kg_m3": 6595,
  "magnetic_moment_mub_per_fu": 0.00,
  "n_ef_per_ev_cell": 8.1,
  "sg": "Fd-3m (227)",
  "crystal_system": "cubic",
  "lattice_angstrom": [[0.000, 5.063, 5.063], [5.063, 0.000, 5.063], [5.063, 5.063, 0.000]],
  "species": ["K", "K", "Os", "Os", "Os", "Os", "O", "O", "O", "O", "O", "O", "O", "O", "O", "O", "O", "O"],
  "fractional_positions": [[0.125, 0.125, 0.125], [0.875, 0.875, 0.875], [0.000, 0.500, 0.500], [0.500, 0.000, 0.500], [0.500, 0.500, 0.000], [0.500, 0.500, 0.500], [0.184, 0.184, 0.566], [0.184, 0.566, 0.184], [0.184, 0.566, 0.566], [0.434, 0.434, 0.816], [0.434, 0.816, 0.434], [0.434, 0.816, 0.816], [0.566, 0.184, 0.184], [0.566, 0.184, 0.566], [0.566, 0.566, 0.184], [0.816, 0.434, 0.434], [0.816, 0.434, 0.816], [0.816, 0.816, 0.434]]
}



Need the numbers? Relative energies in meV/atom: #P 0; #Q 30.